Computed, not measured: a relaxed Sr2ZnTe crystal at the GGA-PBEsol level of DFT.

Computed properties:
Symmetry   No. 166
Distance to the lowest polymorph of the same formula   6 kJ/mol of formula units
Energy   -2.936 eV/atom

Geometry as POSCAR:
```
Sr2ZnTe
1.0
2.267 1.309 7.857
-2.267 1.309 7.857
0.000 -2.618 7.857
Sr Zn Te
2 1 1
Direct
0.250 0.250 0.250
0.750 0.750 0.750
0.500 0.500 0.500
0.000 0.000 0.000
```